# 1
Compound: Tc2PRu
Source: Alexandria via LeMat-Bulk
Functional: PBE
Structure: optimized geometry

abc: 3.741 3.741 7.808
angles: 90.00 90.00 90.00
Space group I-4m2 (No. 119)
Symmetry-distinct sites (fractional):
1 Tc 0.000 0.000 0.000
2 Tc 0.000 0.500 0.250
3 P 0.000 0.500 0.750
4 Ru 0.000 0.000 0.500

Results
The density of states at the Fermi level comes out at 9.068 states/eV per cell. As for the calculated formation energy: 54 meV per atom. Its total energy is -70.40 eV per cell.

***

# 2
Compound: Ho5BiSb2
Source: Alexandria via LeMat-Bulk
Functional: PBE
Structure: optimized geometry

abc: 6.071 12.422 13.912
angles: 90.00 90.00 90.00
Space group Cmcm (No. 63)
Symmetry-distinct sites (fractional):
1 Ho 0.000 0.058 0.108
2 Ho 0.000 0.346 0.750
3 Ho 0.000 0.375 0.056
4 Bi 0.000 0.250 0.250
5 Sb 0.000 0.183 0.583

Results
The density of states at the Fermi level comes out at 30.665 states/eV per cell. As for the raw formation energy: -463 meV/atom. Its total energy is -154.88 eV per cell.